# 1
# CaPmDy2 (PBE-GGA, relaxed)
data_CaPmDy2
_chemical_formula_sum 'Ca3 Pm3 Dy6'
_space_group_name_H-M_alt 'R -3 m'
_space_group_IT_number 166
_space_group_name_Hall '-R 3 2"'
_cell_length_a 3.5687
_cell_length_b 3.5687
_cell_length_c 37.8729
_cell_angle_alpha 90.00
_cell_angle_beta 90.00
_cell_angle_gamma 120.00
loop_
_atom_site_label
_atom_site_fract_x
_atom_site_fract_y
_atom_site_fract_z
Ca1 0.0000 0.0000 0.0000
Pm1 0.0000 0.0000 0.5000
Dy1 0.0000 0.0000 0.0905
# DOS(E_F) ... 1.5201 states/eV/atom
# Relative energy among the computed polymorphs ... 2.32 kcal/mol of atoms
# ΔE_f ... 0.16 eV/atom
# Spin magnetization ... 0.000 Bohr magnetons per cell

***

# 2
# CaPm3Dy3 (PBE-GGA, relaxed)
data_CaPm3Dy3
_chemical_formula_sum 'Ca6 Pm18 Dy18'
_space_group_name_H-M_alt 'R -3'
_space_group_IT_number 148
_space_group_name_Hall '-R 3'
_cell_length_a 8.7283
_cell_length_b 8.7283
_cell_length_c 22.6351
_cell_angle_alpha 90.00
_cell_angle_beta 90.00
_cell_angle_gamma 120.00
loop_
_atom_site_label
_atom_site_fract_x
_atom_site_fract_y
_atom_site_fract_z
Ca1 0.0000 0.0000 0.1549
Pm1 0.0550 0.4464 0.3777
Dy1 0.0087 0.2309 0.5586
# DOS(E_F) ... 1.6056 states/eV/atom
# ΔE_f ... 0.22 eV/atom
# Spin magnetization ... 0.000 Bohr magnetons per cell

***

# 3
# CaPmDy2 (PBE-GGA, relaxed)
data_CaPmDy2
_chemical_formula_sum 'Ca3 Pm3 Dy6'
_space_group_name_H-M_alt 'R 3 m'
_space_group_IT_number 160
_space_group_name_Hall 'R 3 -2"'
_cell_length_a 3.6214
_cell_length_b 3.6214
_cell_length_c 36.1108
_cell_angle_alpha 90.00
_cell_angle_beta 90.00
_cell_angle_gamma 120.00
loop_
_atom_site_label
_atom_site_fract_x
_atom_site_fract_y
_atom_site_fract_z
Ca1 0.0000 0.0000 0.0000
Pm1 0.0000 0.0000 0.1657
Dy1 0.0000 0.0000 0.5789
Dy2 0.0000 0.0000 0.7533
# DOS(E_F) ... 1.5276 states/eV/atom
# Relative energy among the computed polymorphs ... 0.00 kcal/mol of atoms
# ΔE_f ... 0.06 eV/atom
# Spin magnetization ... 0.001 Bohr magnetons per cell

***

# 4
# CaPm6Dy4 (PBE-GGA, relaxed)
data_CaPm6Dy4
_chemical_formula_sum 'Ca2 Pm12 Dy8'
_space_group_name_H-M_alt 'I -4 2 m'
_space_group_IT_number 121
_space_group_name_Hall 'I -4 2'
_cell_length_a 6.581
_cell_length_b 6.581
_cell_length_c 17.713
_cell_angle_alpha 90.00
_cell_angle_beta 90.00
_cell_angle_gamma 90.00
loop_
_atom_site_label
_atom_site_fract_x
_atom_site_fract_y
_atom_site_fract_z
Ca1 0.000 0.000 0.000
Pm1 0.000 0.500 0.000
Pm2 0.174 0.174 0.365
Dy1 0.185 0.185 0.177
# DOS(E_F) ... 1.4086 states/eV/atom
# ΔE_f ... 0.33 eV/atom
# Spin magnetization ... 0.000 Bohr magnetons per cell

***

# 5
# Ca2Pm6Dy3 (PBE-GGA, relaxed)
data_Ca2Pm6Dy3
_chemical_formula_sum 'Ca6 Pm18 Dy9'
_space_group_name_H-M_alt 'R -3 m'
_space_group_IT_number 166
_space_group_name_Hall '-R 3 2"'
_cell_length_a 3.6418
_cell_length_b 3.6418
_cell_length_c 99.3110
_cell_angle_alpha 90.00
_cell_angle_beta 90.00
_cell_angle_gamma 120.00
loop_
_atom_site_label
_atom_site_fract_x
_atom_site_fract_y
_atom_site_fract_z
Ca1 0.0000 0.0000 0.0469
Pm1 0.0000 0.0000 0.1375
Pm2 0.0000 0.0000 0.3190
Pm3 0.0000 0.0000 0.4127
Dy1 0.0000 0.0000 0.2253
Dy2 0.0000 0.0000 0.5000
# DOS(E_F) ... 1.2264 states/eV/atom
# ΔE_f ... 0.03 eV/atom
# Spin magnetization ... 0.000 Bohr magnetons per cell

***

# 6
# CaPm8Dy4 (PBE-GGA, relaxed)
data_CaPm8Dy4
_chemical_formula_sum 'Ca2 Pm16 Dy8'
_space_group_name_H-M_alt 'C 1 2/m 1'
_space_group_IT_number 12
_cell_length_a 11.472
_cell_length_b 5.143
_cell_length_c 14.957
_cell_angle_alpha 90.00
_cell_angle_beta 94.29
_cell_angle_gamma 90.00
loop_
_space_group_symop_operation_xyz
'x,y,z'
'-x,-y,-z'
'-x,y,-z'
'x,-y,z'
'x+1/2,y+1/2,z'
'-x+1/2,-y+1/2,-z'
'-x+1/2,y+1/2,-z'
'x+1/2,-y+1/2,z'
loop_
_atom_site_label
_atom_site_fract_x
_atom_site_fract_y
_atom_site_fract_z
Ca1 0.000 0.000 0.000
Pm1 0.039 0.500 0.386
Pm2 0.077 0.000 0.766
Pm3 0.194 0.500 0.919
Pm4 0.233 0.000 0.310
Dy1 0.120 0.500 0.159
Dy2 0.152 0.000 0.538
# DOS(E_F) ... 1.3932 states/eV/atom
# ΔE_f ... 0.04 eV/atom
# Spin magnetization ... 0.000 Bohr magnetons per cell

***

# 7
# CaPm8Dy3 (PBE-GGA, relaxed)
data_CaPm8Dy3
_chemical_formula_sum 'Ca2 Pm16 Dy6'
_space_group_name_H-M_alt 'C 1 m 1'
_space_group_IT_number 8
_cell_length_a 19.001
_cell_length_b 3.646
_cell_length_c 11.801
_cell_angle_alpha 90.00
_cell_angle_beta 90.14
_cell_angle_gamma 90.00
loop_
_space_group_symop_operation_xyz
'x,y,z'
'x,-y,z'
'x+1/2,y+1/2,z'
'x+1/2,-y+1/2,z'
loop_
_atom_site_label
_atom_site_fract_x
_atom_site_fract_y
_atom_site_fract_z
Ca1 0.000 0.000 0.000
Pm1 0.000 0.000 0.505
Pm2 0.112 0.000 0.256
Pm3 0.166 0.500 0.504
Pm4 0.170 0.500 0.999
Pm5 0.329 0.000 0.003
Pm6 0.332 0.000 0.501
Pm7 0.388 0.500 0.748
Pm8 0.442 0.000 0.258
Dy1 0.058 0.500 0.746
Dy2 0.221 0.000 0.753
Dy3 0.277 0.500 0.251
# DOS(E_F) ... 1.4014 states/eV/atom
# ΔE_f ... 0.02 eV/atom
# Spin magnetization ... 0.001 Bohr magnetons per cell

***

# 8
# CaPm12Dy2 (PBE-GGA, relaxed)
data_CaPm12Dy2
_chemical_formula_sum 'Ca4 Pm48 Dy8'
_space_group_name_H-M_alt 'C 1 2/m 1'
_space_group_IT_number 12
_cell_length_a 7.245
_cell_length_b 11.539
_cell_length_c 25.087
_cell_angle_alpha 90.00
_cell_angle_beta 94.29
_cell_angle_gamma 90.00
loop_
_space_group_symop_operation_xyz
'x,y,z'
'-x,-y,-z'
'-x,y,-z'
'x,-y,z'
'x+1/2,y+1/2,z'
'-x+1/2,-y+1/2,-z'
'-x+1/2,y+1/2,-z'
'x+1/2,-y+1/2,z'
loop_
_atom_site_label
_atom_site_fract_x
_atom_site_fract_y
_atom_site_fract_z
Ca1 0.250 0.000 0.002
Pm1 0.016 0.250 0.079
Pm2 0.114 0.239 0.445
Pm3 0.128 0.500 0.576
Pm4 0.151 0.000 0.576
Pm5 0.168 0.256 0.670
Pm6 0.201 0.245 0.796
Pm7 0.218 0.000 0.860
Pm8 0.218 0.500 0.854
Dy1 0.064 0.000 0.276
Dy2 0.072 0.500 0.274
# DOS(E_F) ... 1.4139 states/eV/atom
# ΔE_f ... 0.11 eV/atom
# Spin magnetization ... 0.000 Bohr magnetons per cell

***

# 9
# CaPm2Dy (PBE-GGA, relaxed)
data_CaPm2Dy
_chemical_formula_sum 'Ca3 Pm6 Dy3'
_space_group_name_H-M_alt 'R -3 m'
_space_group_IT_number 166
_space_group_name_Hall '-R 3 2"'
_cell_length_a 3.6466
_cell_length_b 3.6466
_cell_length_c 36.4801
_cell_angle_alpha 90.00
_cell_angle_beta 90.00
_cell_angle_gamma 120.00
loop_
_atom_site_label
_atom_site_fract_x
_atom_site_fract_y
_atom_site_fract_z
Ca1 0.0000 0.0000 0.0000
Pm1 0.0000 0.0000 0.2452
Dy1 0.0000 0.0000 0.5000
# DOS(E_F) ... 1.3486 states/eV/atom
# Relative energy among the computed polymorphs ... 0.00 kcal/mol of atoms
# ΔE_f ... 0.04 eV/atom
# Spin magnetization ... 0.000 Bohr magnetons per cell

***

# 10
# CaPm12Dy7 (PBE-GGA, relaxed)
data_CaPm12Dy7
_chemical_formula_sum 'Ca2 Pm24 Dy14'
_space_group_name_H-M_alt 'I m -3'
_space_group_IT_number 204
_space_group_name_Hall '-I 2 2 3'
_cell_length_a 11.579
_cell_length_b 11.579
_cell_length_c 11.579
_cell_angle_alpha 90.00
_cell_angle_beta 90.00
_cell_angle_gamma 90.00
loop_
_atom_site_label
_atom_site_fract_x
_atom_site_fract_y
_atom_site_fract_z
Ca1 0.000 0.000 0.000
Pm1 0.000 0.259 0.257
Dy1 0.000 0.000 0.500
Dy2 0.250 0.250 0.250
# DOS(E_F) ... 1.2676 states/eV/atom
# ΔE_f ... 0.64 eV/atom
# Spin magnetization ... 0.000 Bohr magnetons per cell

***

# 11
# CaPmDy (PBE-GGA, relaxed)
data_CaPmDy
_chemical_formula_sum 'Ca1 Pm1 Dy1'
_space_group_name_H-M_alt 'P 3 m 1'
_space_group_IT_number 156
_cell_length_a 3.6563
_cell_length_b 3.6563
_cell_length_c 9.1382
_cell_angle_alpha 90.00
_cell_angle_beta 90.00
_cell_angle_gamma 120.00
loop_
_space_group_symop_operation_xyz
'x,y,z'
'-y,x-y,z'
'-x+y,-x,z'
'-y,-x,z'
'-x+y,y,z'
'x,x-y,z'
loop_
_atom_site_label
_atom_site_fract_x
_atom_site_fract_y
_atom_site_fract_z
Ca1 0.0000 0.0000 0.0000
Pm1 0.6667 0.3333 0.3524
Dy1 0.3333 0.6667 0.6578
# DOS(E_F) ... 1.3402 states/eV/atom
# Relative energy among the computed polymorphs ... 0.42 kcal/mol of atoms
# ΔE_f ... 0.06 eV/atom
# Spin magnetization ... 0.000 Bohr magnetons per cell

***

# 12
# CaPm3Dy (PBE-GGA, relaxed)
data_CaPm3Dy
_chemical_formula_sum 'Ca2 Pm6 Dy2'
_space_group_name_H-M_alt 'P -1'
_space_group_IT_number 2
_cell_length_a 5.596
_cell_length_b 7.253
_cell_length_c 9.710
_cell_angle_alpha 68.17
_cell_angle_beta 73.27
_cell_angle_gamma 89.97
loop_
_space_group_symop_operation_xyz
'x,y,z'
'-x,-y,-z'
loop_
_atom_site_label
_atom_site_fract_x
_atom_site_fract_y
_atom_site_fract_z
Ca1 0.109 0.108 0.283
Pm1 0.108 0.610 0.284
Pm2 0.299 0.549 0.903
Pm3 0.496 0.737 0.505
Dy1 0.301 0.053 0.898
# DOS(E_F) ... 1.7113 states/eV/atom
# Relative energy among the computed polymorphs ... 0.00 kcal/mol of atoms
# ΔE_f ... 0.09 eV/atom
# Spin magnetization ... 0.001 Bohr magnetons per cell

***

# 13
# CaPmDy4 (PBE-GGA, relaxed)
data_CaPmDy4
_chemical_formula_sum 'Ca2 Pm2 Dy8'
_space_group_name_H-M_alt 'C 1 2/m 1'
_space_group_IT_number 12
_cell_length_a 17.561
_cell_length_b 3.622
_cell_length_c 6.295
_cell_angle_alpha 90.00
_cell_angle_beta 96.86
_cell_angle_gamma 90.00
loop_
_space_group_symop_operation_xyz
'x,y,z'
'-x,-y,-z'
'-x,y,-z'
'x,-y,z'
'x+1/2,y+1/2,z'
'-x+1/2,-y+1/2,-z'
'-x+1/2,y+1/2,-z'
'x+1/2,-y+1/2,z'
loop_
_atom_site_label
_atom_site_fract_x
_atom_site_fract_y
_atom_site_fract_z
Ca1 0.000 0.000 0.000
Pm1 0.000 0.500 0.500
Dy1 0.169 0.000 0.393
Dy2 0.172 0.500 0.887
# DOS(E_F) ... 1.4364 states/eV/atom
# Relative energy among the computed polymorphs ... 0.00 kcal/mol of atoms
# ΔE_f ... 0.05 eV/atom
# Spin magnetization ... 0.000 Bohr magnetons per cell

***

# 14
# CaPm6Dy12 (PBE-GGA, relaxed)
data_CaPm6Dy12
_chemical_formula_sum 'Ca3 Pm18 Dy36'
_space_group_name_H-M_alt 'R -3 m'
_space_group_IT_number 166
_space_group_name_Hall '-R 3 2"'
_cell_length_a 14.9684
_cell_length_b 14.9684
_cell_length_c 10.5941
_cell_angle_alpha 90.00
_cell_angle_beta 90.00
_cell_angle_gamma 120.00
loop_
_atom_site_label
_atom_site_fract_x
_atom_site_fract_y
_atom_site_fract_z
Ca1 0.0000 0.0000 0.0000
Pm1 0.0720 0.5360 0.2225
Dy1 0.0000 0.3873 0.5000
Dy2 0.0795 0.1589 0.2579
# DOS(E_F) ... 1.5131 states/eV/atom
# ΔE_f ... 0.45 eV/atom
# Spin magnetization ... 0.004 Bohr magnetons per cell

***

# 15
# CaPm3Dy (PBE-GGA, relaxed)
data_CaPm3Dy
_chemical_formula_sum 'Ca6 Pm18 Dy6'
_space_group_name_H-M_alt 'R -3'
_space_group_IT_number 148
_space_group_name_Hall '-R 3'
_cell_length_a 6.1826
_cell_length_b 6.1826
_cell_length_c 35.4013
_cell_angle_alpha 90.00
_cell_angle_beta 90.00
_cell_angle_gamma 120.00
loop_
_atom_site_label
_atom_site_fract_x
_atom_site_fract_y
_atom_site_fract_z
Ca1 0.0000 0.0000 0.1666
Pm1 0.0027 0.6634 0.7454
Dy1 0.0000 0.0000 0.3336
# DOS(E_F) ... 1.7818 states/eV/atom
# Relative energy among the computed polymorphs ... 6.34 kcal/mol of atoms
# ΔE_f ... 0.37 eV/atom
# Spin magnetization ... 0.000 Bohr magnetons per cell

***

# 16
# CaPmDy (PBE-GGA, relaxed)
data_CaPmDy
_chemical_formula_sum 'Ca2 Pm2 Dy2'
_space_group_name_H-M_alt 'P 1 21/m 1'
_space_group_IT_number 11
_cell_length_a 3.599
_cell_length_b 5.612
_cell_length_c 10.833
_cell_angle_alpha 90.00
_cell_angle_beta 99.52
_cell_angle_gamma 90.00
loop_
_space_group_symop_operation_xyz
'x,y,z'
'-x,-y,-z'
'-x,y+1/2,-z'
'x,-y+1/2,z'
loop_
_atom_site_label
_atom_site_fract_x
_atom_site_fract_y
_atom_site_fract_z
Ca1 0.204 0.250 0.409
Pm1 0.394 0.250 0.789
Dy1 0.040 0.250 0.079
# DOS(E_F) ... 1.4284 states/eV/atom
# Relative energy among the computed polymorphs ... 0.00 kcal/mol of atoms
# ΔE_f ... 0.04 eV/atom
# Spin magnetization ... 0.000 Bohr magnetons per cell

***

# 17
# CaPm5Dy3 (PBE-GGA, relaxed)
data_CaPm5Dy3
_chemical_formula_sum 'Ca4 Pm20 Dy12'
_space_group_name_H-M_alt 'C m c m'
_space_group_IT_number 63
_space_group_name_Hall '-C 2c 2'
_cell_length_a 17.115
_cell_length_b 10.034
_cell_length_c 7.089
_cell_angle_alpha 90.00
_cell_angle_beta 90.00
_cell_angle_gamma 90.00
loop_
_atom_site_label
_atom_site_fract_x
_atom_site_fract_y
_atom_site_fract_z
Ca1 0.000 0.152 0.250
Pm1 0.000 0.191 0.750
Pm2 0.161 0.353 0.250
Pm3 0.175 0.319 0.750
Dy1 0.000 0.500 0.000
Dy2 0.170 0.000 0.000
# DOS(E_F) ... 1.5527 states/eV/atom
# ΔE_f ... 0.08 eV/atom
# Spin magnetization ... 0.000 Bohr magnetons per cell

***

# 18
# CaPm9Dy2 (PBE-GGA, relaxed)
data_CaPm9Dy2
_chemical_formula_sum 'Ca1 Pm9 Dy2'
_space_group_name_H-M_alt 'P 6/m m m'
_space_group_IT_number 191
_space_group_name_Hall '-P 6 2'
_cell_length_a 11.5488
_cell_length_b 11.5488
_cell_length_c 3.5911
_cell_angle_alpha 90.00
_cell_angle_beta 90.00
_cell_angle_gamma 120.00
loop_
_atom_site_label
_atom_site_fract_x
_atom_site_fract_y
_atom_site_fract_z
Ca1 0.0000 0.0000 0.0000
Pm1 0.0000 0.5000 0.0000
Pm2 0.1790 0.3580 0.5000
Dy1 0.3333 0.6667 0.0000
# DOS(E_F) ... 1.1997 states/eV/atom
# ΔE_f ... 0.03 eV/atom
# Spin magnetization ... 0.000 Bohr magnetons per cell

***

# 19
# CaPm3Dy8 (PBE-GGA, relaxed)
data_CaPm3Dy8
_chemical_formula_sum 'Ca2 Pm6 Dy16'
_space_group_name_H-M_alt 'I m m 2'
_space_group_IT_number 44
_cell_length_a 10.973
_cell_length_b 11.459
_cell_length_c 6.328
_cell_angle_alpha 90.00
_cell_angle_beta 90.00
_cell_angle_gamma 90.00
loop_
_space_group_symop_operation_xyz
'x,y,z'
'-x,-y,z'
'-x,y,z'
'x,-y,z'
'x+1/2,y+1/2,z+1/2'
'-x+1/2,-y+1/2,z+1/2'
'-x+1/2,y+1/2,z+1/2'
'x+1/2,-y+1/2,z+1/2'
loop_
_atom_site_label
_atom_site_fract_x
_atom_site_fract_y
_atom_site_fract_z
Ca1 0.000 0.000 0.000
Pm1 0.000 0.251 0.659
Pm2 0.000 0.500 0.998
Dy1 0.165 0.500 0.496
Dy2 0.170 0.000 0.499
Dy3 0.170 0.253 0.169
# DOS(E_F) ... 1.7284 states/eV/atom
# ΔE_f ... 0.04 eV/atom
# Spin magnetization ... 0.001 Bohr magnetons per cell

***

# 20
# CaPm2Dy (PBE-GGA, relaxed)
data_CaPm2Dy
_chemical_formula_sum 'Ca1 Pm2 Dy1'
_space_group_name_H-M_alt 'P 4/m m m'
_space_group_IT_number 123
_space_group_name_Hall '-P 4 2'
_cell_length_a 5.224
_cell_length_b 5.224
_cell_length_c 5.067
_cell_angle_alpha 90.00
_cell_angle_beta 90.00
_cell_angle_gamma 90.00
loop_
_atom_site_label
_atom_site_fract_x
_atom_site_fract_y
_atom_site_fract_z
Ca1 0.000 0.000 0.000
Pm1 0.000 0.500 0.500
Dy1 0.500 0.500 0.000
# DOS(E_F) ... 1.5832 states/eV/atom
# Relative energy among the computed polymorphs ... 1.43 kcal/mol of atoms
# ΔE_f ... 0.10 eV/atom
# Spin magnetization ... 0.000 Bohr magnetons per cell

***

# 21
# CaPm12Dy3 (PBE-GGA, relaxed)
data_CaPm12Dy3
_chemical_formula_sum 'Ca1 Pm12 Dy3'
_space_group_name_H-M_alt 'P 4/m m m'
_space_group_IT_number 123
_space_group_name_Hall '-P 4 2'
_cell_length_a 5.151
_cell_length_b 5.151
_cell_length_c 20.575
_cell_angle_alpha 90.00
_cell_angle_beta 90.00
_cell_angle_gamma 90.00
loop_
_atom_site_label
_atom_site_fract_x
_atom_site_fract_y
_atom_site_fract_z
Ca1 0.000 0.000 0.000
Pm1 0.000 0.500 0.130
Pm2 0.000 0.500 0.376
Pm3 0.500 0.500 0.000
Pm4 0.500 0.500 0.251
Pm5 0.500 0.500 0.500
Dy1 0.000 0.000 0.251
Dy2 0.000 0.000 0.500
# DOS(E_F) ... 1.5188 states/eV/atom
# ΔE_f ... 0.03 eV/atom
# Spin magnetization ... 0.000 Bohr magnetons per cell